(1)
Computed, not measured: a relaxed ScCoAs3 crystal at the PBE level of DFT.

Computed properties:
Spin magnetization ... 1.99 μB per cell
Calculated density ... 4.28 Mg/m³

abc: 5.033 5.033 5.033
angles: 90.00 90.00 90.00
Atoms (fractional coordinates):
As 0.000 0.000 0.500
As 0.500 0.000 0.000
As 0.000 0.500 0.000
Co 0.500 0.500 0.500
Sc 0.000 0.000 0.000

(2)
Computed, not measured: a relaxed ScCoAs3 crystal at the PBE level of DFT.

Computed properties:
Spin magnetization ... 0.35 μB per cell
Calculated density ... 5.56 Mg/m³

abc: 4.613 4.613 4.613
angles: 90.00 90.00 90.00
Atoms (fractional coordinates):
Co 0.000 0.000 0.000
As 0.500 0.000 0.000
As 0.000 0.000 0.500
As 0.000 0.500 0.000
Sc 0.500 0.500 0.500

It turns out (2) is the most stable, with the second structure 0.736 eV/atom higher.